Record 1
The following is a GGA-PBE calculation of crystalline Cs2PaTeS4 at its relaxed geometry, from the Alexandria database.

a = 8.294 Å, b = 8.294 Å, c = 8.760 Å
α = 90.00°, β = 90.00°, γ = 90.00°
Space group I-4 (No. 82)
Symmetry-distinct sites (fractional):
Cs: 0.000 0.000 0.000 x2
Cs: 0.000 0.500 0.250 x2
Pa: 0.000 0.000 0.500 x2
Te: 0.000 0.500 0.750 x2
S: 0.144 0.796 0.674 x8

## Properties
The calculation puts the formation energy (no corrections) at -0.903 eV per atom. The value obtained for the volume is 37.66 Å³ per atom. Its magnetization is 2.18 μB per cell.


Record 2
The following is a GGA-PBE calculation of crystalline AgPd3N at its relaxed geometry, from the Alexandria database.

a = 5.013 Å, b = 5.013 Å, c = 5.013 Å
α = 90.00°, β = 90.00°, γ = 90.00°
Space group Pm-3m (No. 221)
Symmetry-distinct sites (fractional):
Ag: 0.000 0.000 0.000 x1
Pd: 0.000 0.000 0.500 x3
N: 0.500 0.500 0.500 x1

## Properties
The energy above the lowest structure with this stoichiometry is 1995 meV per atom. The calculation puts the formation energy (no corrections) at 2.162 eV per atom. The value obtained for the volume is 25.20 Å³ per atom. Its magnetization is 3.38 μB per cell.


Record 3
The following is a GGA-PBE calculation of crystalline Na2Ho2UO6 at its relaxed geometry, from the Alexandria database.

a = 5.964 Å, b = 10.420 Å, c = 5.944 Å
α = 90.00°, β = 108.89°, γ = 90.00°
Space group C2/m (No. 12)
Symmetry-distinct sites (fractional):
Na: 0.000 0.173 0.000 x4
Ho: 0.000 0.334 0.500 x4
U: 0.000 0.000 0.500 x2
O: 0.223 0.172 0.699 x8
O: 0.248 0.500 0.694 x4

## Properties
The calculation puts the formation energy (no corrections) at -2.853 eV per atom. The value obtained for the volume is 15.89 Å³ per atom. Its magnetization is 4.00 μB per cell.


Record 4
The following is a GGA-PBE calculation of crystalline NaZn2InTc at its relaxed geometry, from the Alexandria database.

a = 4.800 Å, b = 4.800 Å, c = 5.082 Å
α = 90.00°, β = 90.00°, γ = 90.00°
Space group P4/mmm (No. 123)
Symmetry-distinct sites (fractional):
Na: 0.000 0.000 0.000 x1
Zn: 0.000 0.500 0.000 x2
In: 0.500 0.500 0.500 x1
Tc: 0.000 0.000 0.500 x1

## Properties
The value obtained for the volume is 23.41 Å³ per atom. The formation energy from the elements is 1.32 eV/atom. Its magnetization is 2.91 μB per cell.